Record 1
# ErTm4Al2 | Alexandria via LeMat-Bulk | GGA-PBE | optimized geometry
data_ErTm4Al2
_space_group_name_H-M_alt 'P 1 21/c 1'
_space_group_IT_number 14
_cell_length_a 6.0148
_cell_length_b 10.2490
_cell_length_c 6.6630
_cell_angle_alpha 90.00
_cell_angle_beta 112.35
_cell_angle_gamma 90.00
loop_
_space_group_symop_operation_xyz
'x,y,z'
'-x,-y,-z'
'-x,y+1/2,-z+1/2'
'x,-y+1/2,z+1/2'
loop_
_atom_site_label
_atom_site_fract_x
_atom_site_fract_y
_atom_site_fract_z
_atom_site_occupancy
Er1 0.0000 0.0000 0.0000 1
Tm1 0.0055 0.1619 0.4993 1
Tm2 0.4943 0.7123 0.4985 1
Al1 0.4737 0.5011 0.1831 1
# ΔE to the lowest computed polymorph (eV/atom): 0.0000
# VASP energy (eV for the cell shown): -60.9
# Formation energy from the elements (eV/f.u.): -0.51


Record 2
# Er4TmAl3 | Alexandria via LeMat-Bulk | GGA-PBE | optimized geometry
data_Er4TmAl3
_space_group_name_H-M_alt 'I m m m'
_space_group_IT_number 71
_space_group_name_Hall '-I 2 2'
_cell_length_a 3.3323
_cell_length_b 8.5244
_cell_length_c 14.6159
_cell_angle_alpha 90.00
_cell_angle_beta 90.00
_cell_angle_gamma 90.00
loop_
_atom_site_label
_atom_site_fract_x
_atom_site_fract_y
_atom_site_fract_z
_atom_site_occupancy
Er1 0.0000 0.1974 0.1407 1
Tm1 0.0000 0.5000 0.0000 1
Al1 0.0000 0.0000 0.3179 1
Al2 0.0000 0.5000 0.5000 1
# VASP energy (eV for the cell shown): -70.0
# Formation energy from the elements (eV/f.u.): -1.07


Record 3
# Er4Tm3Al4 | Alexandria via LeMat-Bulk | GGA-PBE | optimized geometry
data_Er4Tm3Al4
_space_group_name_H-M_alt 'I m m m'
_space_group_IT_number 71
_space_group_name_Hall '-I 2 2'
_cell_length_a 5.0856
_cell_length_b 6.6197
_cell_length_c 16.8715
_cell_angle_alpha 90.00
_cell_angle_beta 90.00
_cell_angle_gamma 90.00
loop_
_atom_site_label
_atom_site_fract_x
_atom_site_fract_y
_atom_site_fract_z
_atom_site_occupancy
Er1 0.0000 0.2379 0.1802 1
Tm1 0.0000 0.0000 0.4016 1
Tm2 0.0000 0.5000 0.5000 1
Al1 0.0000 0.2931 0.0000 1
Al2 0.0000 0.5000 0.3282 1
# VASP energy (eV for the cell shown): -97.0
# Formation energy from the elements (eV/f.u.): -1.87


Record 4
# Er2Tm8Al | Alexandria via LeMat-Bulk | GGA-PBE | optimized geometry
data_Er2Tm8Al
_space_group_name_H-M_alt 'C 1 2/m 1'
_space_group_IT_number 12
_cell_length_a 18.8976
_cell_length_b 5.3904
_cell_length_c 6.2866
_cell_angle_alpha 90.00
_cell_angle_beta 94.41
_cell_angle_gamma 90.00
loop_
_space_group_symop_operation_xyz
'x,y,z'
'-x,-y,-z'
'-x,y,-z'
'x,-y,z'
'x+1/2,y+1/2,z'
'-x+1/2,-y+1/2,-z'
'-x+1/2,y+1/2,-z'
'x+1/2,-y+1/2,z'
loop_
_atom_site_label
_atom_site_fract_x
_atom_site_fract_y
_atom_site_fract_z
_atom_site_occupancy
Er1 0.2424 0.0000 0.3329 1
Tm1 0.0436 0.0000 0.2555 1
Tm2 0.0780 0.5000 0.6015 1
Tm3 0.1542 0.0000 0.8088 1
Tm4 0.1581 0.5000 0.1233 1
Al1 0.0000 0.5000 0.0000 1
# VASP energy (eV for the cell shown): -98.2
# Formation energy from the elements (eV/f.u.): -0.47